No. 1
9
Lattice="7.679 0.000 0.000 -3.840 6.650 0.000 0.000 0.000 4.240" Properties=species:S:1:pos:R:3 comment="PBE-GGA Y3Mg3TlCdCu, optimized geometry" density_g_cm3=5.52 dft_energy_ev_per_atom=-3.726 pbc="T T T"
Y -2.280 4.875 0.000
Y 0.758 2.238 0.000
Y 1.522 6.188 0.000
Mg 2.952 0.648 2.120
Mg 2.924 3.770 2.120
Mg 5.642 2.233 2.120
Tl 0.000 0.000 2.120
Cd 0.000 4.434 2.120
Cu 3.840 2.217 0.000

=====

No. 2
2
Lattice="3.574 0.000 0.000 0.000 3.574 0.000 0.000 0.000 3.574" Properties=species:S:1:pos:R:3 comment="PBE-GGA TmAg, optimized geometry" ef_mev_per_atom=-350 density_g_cm3=10.07 dft_energy_ev_per_atom=-4.000 pbc="T T T"
Tm 0.000 0.000 0.000
Ag 1.787 1.787 1.787

=====

No. 3
12
Lattice="10.151 -2.257 0.000 10.151 2.257 0.000 -2.087 0.000 8.896" Properties=species:S:1:pos:R:3 comment="PBE-GGA SrLaAgTe3, optimized geometry" density_g_cm3=5.84 dft_energy_ev_per_atom=-4.390 pbc="T T T"
Sr 2.374 0.000 0.635
Sr 15.840 0.000 8.260
La 2.090 0.000 5.276
La 16.124 0.000 3.620
Ag 8.763 0.000 2.565
Ag 9.452 0.000 6.331
Te -1.044 0.000 4.448
Te 6.161 0.000 1.355
Te 5.300 0.000 5.788
Te 10.151 0.000 0.000
Te 12.914 0.000 3.108
Te 12.054 0.000 7.541

=====

No. 4
4
Lattice="0.000 3.511 3.511 3.511 0.000 3.511 3.511 3.511 0.000" Properties=species:S:1:pos:R:3 comment="PBE-GGA LuNiSn2, optimized geometry" density_g_cm3=9.03 dft_energy_ev_per_atom=-4.605 pbc="T T T"
Lu 0.000 0.000 0.000
Ni 5.267 5.267 5.267
Sn 1.756 1.756 1.756
Sn 3.511 3.511 3.511